[1]
The following is a GGA-PBE calculation of a relaxed structure of TlInGe2O6, from Alexandria.

Cell: 7.939 7.939 5.697 Å, 101.04 101.04 96.50°
Fractional coordinates of all 20 atoms:
Tl: 0.094 0.906 0.750
Tl: 0.906 0.094 0.250
In: 0.238 0.762 0.250
In: 0.762 0.238 0.750
Ge: 0.228 0.383 0.825
Ge: 0.383 0.228 0.325
Ge: 0.617 0.772 0.675
Ge: 0.772 0.617 0.175
O: 0.029 0.238 0.739
O: 0.199 0.599 0.918
O: 0.238 0.029 0.239
O: 0.314 0.376 0.554
O: 0.376 0.314 0.054
O: 0.401 0.801 0.582
O: 0.599 0.199 0.418
O: 0.624 0.686 0.946
O: 0.686 0.624 0.446
O: 0.762 0.971 0.761
O: 0.801 0.401 0.082
O: 0.971 0.762 0.261

Results
- V: 341.65 Å³/cell
- E: -5.803 eV/atom
- Density of states at the Fermi level: 0.0 states/eV/cell

=====

[2]
The following is a GGA-PBE calculation of a relaxed structure of UInGeO6, from Alexandria.

Cell: 5.334 5.334 4.677 Å, 90.00 90.00 120.00°
Fractional coordinates of all 9 atoms:
U: 0.000 0.000 0.000
In: 0.667 0.333 0.500
Ge: 0.333 0.667 0.000
O: 0.028 0.362 0.231
O: 0.028 0.665 0.769
O: 0.335 0.362 0.769
O: 0.335 0.972 0.231
O: 0.638 0.665 0.231
O: 0.638 0.972 0.769

Results
- V: 115.24 Å³/cell
- E: -7.462 eV/atom
- Density of states at the Fermi level: 2.8 states/eV/cell

=====

Taking the records one at a time from the top gives uncorrected formation energy values of -1.3944 -2.0846 eV per atom.